Entry one
A plane-wave DFT calculation with PBE was carried out for a relaxed structure of Pm4Sm3Sc.

Lattice parameters (Å, degrees): 3.5128 11.6541 12.9813 90.00 90.00 90.00
Space group Immm (No. 71)
Unique sites:
Pm 0.0000 0.2439 0.1323 (multiplicity 8)
Sm 0.0000 0.0000 0.5000 (multiplicity 2)
Sm 0.0000 0.5000 0.2624 (multiplicity 4)
Sc 0.0000 0.0000 0.0000 (multiplicity 2)

Values from the calculation:
Its density of states at the Fermi level is 11.22 states/eV/f.u. The calculation puts the calculated volume at 531 Å³/cell.


Entry two
A plane-wave DFT calculation with PBE was carried out for a relaxed structure of Pm4Sm3Sc.

Lattice parameters (Å, degrees): 11.5656 7.2932 6.2940 90.00 90.00 90.00
Space group Pmn2_1 (No. 31)
Unique sites:
Pm 0.0000 0.1278 0.0000 (multiplicity 2)
Pm 0.0000 0.8720 0.4870 (multiplicity 2)
Pm 0.2430 0.8709 0.8318 (multiplicity 4)
Sm 0.0000 0.3765 0.4938 (multiplicity 2)
Sm 0.2491 0.3791 0.8240 (multiplicity 4)
Sc 0.0000 0.6211 0.9916 (multiplicity 2)

Values from the calculation:
Its density of states at the Fermi level is 14.19 states/eV/f.u. The calculation puts the calculated volume at 531 Å³/cell.


Which one sits at the bottom of the stability order? entry one does.


Entry one
A plane-wave DFT calculation with PBE was carried out for a relaxed structure of PmSmSc.

Lattice parameters (Å, degrees): 20.6293 3.4374 5.1807 90.00 90.00 90.00
Space group C2/m (No. 12)
Unique sites:
Pm 0.0487 0.0000 0.2500 (multiplicity 4)
Sm 0.1300 0.5000 0.7499 (multiplicity 4)
Sc 0.2102 0.0000 0.2506 (multiplicity 4)

Values from the calculation:
Its density of states at the Fermi level is 5.25 states/eV/f.u. The calculation puts the calculated volume at 367 Å³/cell.


Entry two
A plane-wave DFT calculation with PBE was carried out for a relaxed structure of PmSmSc.

Lattice parameters (Å, degrees): 3.5457 3.5457 14.6932 90.00 90.00 90.00
Space group I4mm (No. 107)
Unique sites:
Pm 0.0000 0.0000 0.0000 (multiplicity 2)
Sm 0.0000 0.0000 0.6790 (multiplicity 2)
Sc 0.0000 0.0000 0.3391 (multiplicity 2)

Values from the calculation:
Its density of states at the Fermi level is 5.05 states/eV/f.u. The calculation puts the calculated volume at 185 Å³/cell.


Which one sits at the bottom of the stability order? entry one does.


Entry one
A plane-wave DFT calculation with PBE was carried out for a relaxed structure of PmSmSc.

Lattice parameters (Å, degrees): 3.5544 3.5544 16.9926 90.00 90.00 120.00
Space group P-6m2 (No. 187)
Unique sites:
Pm 0.0000 0.0000 0.1594 (multiplicity 2)
Sm 0.3333 0.6667 0.3414 (multiplicity 2)
Sc 0.0000 0.0000 0.5000 (multiplicity 1)
Sc 0.3333 0.6667 0.0000 (multiplicity 1)

Values from the calculation:
Its density of states at the Fermi level is 4.54 states/eV/f.u. The calculation puts the calculated volume at 186 Å³/cell.


Entry two
A plane-wave DFT calculation with PBE was carried out for a relaxed structure of PmSmSc.

Lattice parameters (Å, degrees): 5.5432 5.5432 3.4319 90.00 90.00 120.00
Space group P3m1 (No. 156)
Unique sites:
Pm 0.0000 0.0000 0.0000 (multiplicity 1)
Sm 0.6667 0.3333 0.5006 (multiplicity 1)
Sc 0.3333 0.6667 0.0016 (multiplicity 1)

Values from the calculation:
Its density of states at the Fermi level is 4.44 states/eV/f.u. The calculation puts the calculated volume at 91 Å³/cell.


Which one sits at the bottom of the stability order? entry two does.


Entry one
A plane-wave DFT calculation with PBE was carried out for a relaxed structure of Pm3SmSc.

Lattice parameters (Å, degrees): 20.0291 9.8454 6.6337 90.00 93.85 90.00
Space group C2/c (No. 15)
Unique sites:
Pm 0.0760 0.0590 0.3940 (multiplicity 8)
Pm 0.1502 0.3945 0.5825 (multiplicity 8)
Pm 0.1635 0.2505 0.0727 (multiplicity 8)
Sm 0.0000 0.2520 0.7500 (multiplicity 4)
Sm 0.0000 0.4001 0.2500 (multiplicity 4)
Sc 0.2163 0.0616 0.6822 (multiplicity 8)

Values from the calculation:
Its density of states at the Fermi level is 7.65 states/eV/f.u. The calculation puts the calculated volume at 1305 Å³/cell.


Entry two
A plane-wave DFT calculation with PBE was carried out for a relaxed structure of Pm3SmSc.

Lattice parameters (Å, degrees): 3.5104 8.4195 11.7079 73.11 81.39 77.98
Space group P-1 (No. 2)
Unique sites:
Pm 0.0728 0.3019 0.0538 (multiplicity 2)
Pm 0.2874 0.0757 0.8471 (multiplicity 2)
Pm 0.3309 0.2880 0.5485 (multiplicity 2)
Sm 0.3755 0.5080 0.2429 (multiplicity 2)
Sc 0.0236 0.1009 0.3544 (multiplicity 2)

Values from the calculation:
Its density of states at the Fermi level is 7.99 states/eV/f.u. The calculation puts the calculated volume at 322 Å³/cell.


Which one sits at the bottom of the stability order? entry one does.


Entry one
A plane-wave DFT calculation with PBE was carried out for a relaxed structure of Pm3Sm3Sc2.

Lattice parameters (Å, degrees): 5.0086 5.0160 9.9976 90.00 90.00 90.00
Space group Pmmm (No. 47)
Unique sites:
Pm 0.0000 0.0000 0.0000 (multiplicity 1)
Pm 0.0000 0.0000 0.5000 (multiplicity 1)
Pm 0.5000 0.5000 0.0000 (multiplicity 1)
Sm 0.0000 0.5000 0.2504 (multiplicity 2)
Sm 0.5000 0.5000 0.5000 (multiplicity 1)
Sc 0.5000 0.0000 0.2503 (multiplicity 2)

Values from the calculation:
Its density of states at the Fermi level is 11.46 states/eV/f.u. The calculation puts the calculated volume at 251 Å³/cell.


Entry two
A plane-wave DFT calculation with PBE was carried out for a relaxed structure of Pm3Sm3Sc2.

Lattice parameters (Å, degrees): 16.9988 5.5520 5.7317 90.00 109.55 90.00
Space group C2/m (No. 12)
Unique sites:
Pm 0.0000 0.0000 0.0000 (multiplicity 2)
Pm 0.1398 0.0000 0.6847 (multiplicity 4)
Sm 0.0000 0.5000 0.5000 (multiplicity 2)
Sm 0.1396 0.5000 0.0963 (multiplicity 4)
Sc 0.2500 0.0000 0.3127 (multiplicity 4)

Values from the calculation:
Its density of states at the Fermi level is 13.24 states/eV/f.u. The calculation puts the calculated volume at 510 Å³/cell.


Which one sits at the bottom of the stability order? entry two does.


Entry one
A plane-wave DFT calculation with PBE was carried out for a relaxed structure of TbPmSmSc.

Lattice parameters (Å, degrees): 12.2451 5.6888 3.7773 90.00 107.83 90.00
Space group Cm (No. 8)
Unique sites:
Tb 0.0000 0.0000 0.0000 (multiplicity 2)
Pm 0.4582 0.0000 0.4556 (multiplicity 2)
Sm 0.2319 0.5000 0.2569 (multiplicity 2)
Sc 0.2276 0.0000 0.7366 (multiplicity 2)

Values from the calculation:
Its density of states at the Fermi level is 7.12 states/eV/f.u. The calculation puts the calculated volume at 250 Å³/cell.


Entry two
A plane-wave DFT calculation with PBE was carried out for a relaxed structure of TbPmSmSc.

Lattice parameters (Å, degrees): 7.9377 7.9377 7.9377 90.00 90.00 90.00
Space group F-43m (No. 216)
Unique sites:
Tb 0.0000 0.0000 0.0000 (multiplicity 4)
Pm 0.2500 0.2500 0.2500 (multiplicity 4)
Sm 0.0000 0.0000 0.5000 (multiplicity 4)
Sc 0.2500 0.2500 0.7500 (multiplicity 4)

Values from the calculation:
Its density of states at the Fermi level is 9.75 states/eV/f.u. The calculation puts the calculated volume at 500 Å³/cell.


Which one sits at the bottom of the stability order? entry two does.


Entry one
A plane-wave DFT calculation with PBE was carried out for a relaxed structure of PmSmThSc.

Lattice parameters (Å, degrees): 7.9311 7.9311 7.9311 90.00 90.00 90.00
Space group F-43m (No. 216)
Unique sites:
Pm 0.0000 0.0000 0.0000 (multiplicity 4)
Sm 0.2500 0.2500 0.2500 (multiplicity 4)
Th 0.2500 0.2500 0.7500 (multiplicity 4)
Sc 0.0000 0.0000 0.5000 (multiplicity 4)

Values from the calculation:
Its density of states at the Fermi level is 8.10 states/eV/f.u. The calculation puts the calculated volume at 499 Å³/cell.


Entry two
A plane-wave DFT calculation with PBE was carried out for a relaxed structure of PmSmThSc.

Lattice parameters (Å, degrees): 3.5769 3.5769 9.7435 90.00 90.00 90.00
Space group P4mm (No. 99)
Unique sites:
Pm 0.0000 0.0000 0.0000 (multiplicity 1)
Sm 0.5000 0.5000 0.7239 (multiplicity 1)
Th 0.0000 0.0000 0.4706 (multiplicity 1)
Sc 0.5000 0.5000 0.2421 (multiplicity 1)

Values from the calculation:
Its density of states at the Fermi level is 4.86 states/eV/f.u. The calculation puts the calculated volume at 125 Å³/cell.


Which one sits at the bottom of the stability order? entry one does.


Entry one
A plane-wave DFT calculation with PBE was carried out for a relaxed structure of PmSmYSc.

Lattice parameters (Å, degrees): 12.2174 5.6833 3.8083 90.00 108.14 90.00
Space group Cm (No. 8)
Unique sites:
Pm 0.0000 0.0000 0.0000 (multiplicity 2)
Sm 0.2271 0.5000 0.2232 (multiplicity 2)
Y 0.2674 0.0000 0.7636 (multiplicity 2)
Sc 0.4965 0.0000 0.4942 (multiplicity 2)

Values from the calculation:
Its density of states at the Fermi level is 7.01 states/eV/f.u. The calculation puts the calculated volume at 251 Å³/cell.


Entry two
A plane-wave DFT calculation with PBE was carried out for a relaxed structure of PmSmYSc.

Lattice parameters (Å, degrees): 7.9470 7.9470 7.9470 90.00 90.00 90.00
Space group F-43m (No. 216)
Unique sites:
Pm 0.0000 0.0000 0.0000 (multiplicity 4)
Sm 0.2500 0.2500 0.7500 (multiplicity 4)
Y 0.2500 0.2500 0.2500 (multiplicity 4)
Sc 0.0000 0.0000 0.5000 (multiplicity 4)

Values from the calculation:
Its density of states at the Fermi level is 10.28 states/eV/f.u. The calculation puts the calculated volume at 502 Å³/cell.


Which one sits at the bottom of the stability order? entry two does.


Entry one
A plane-wave DFT calculation with PBE was carried out for a relaxed structure of PmSmScZn.

Lattice parameters (Å, degrees): 3.5220 3.5220 8.5441 90.00 90.00 90.00
Space group P4mm (No. 99)
Unique sites:
Pm 0.0000 0.0000 0.0000 (multiplicity 1)
Sm 0.5000 0.5000 0.6846 (multiplicity 1)
Sc 0.5000 0.5000 0.2807 (multiplicity 1)
Zn 0.0000 0.0000 0.4485 (multiplicity 1)

Values from the calculation:
Its density of states at the Fermi level is 4.15 states/eV/f.u. The calculation puts the calculated volume at 106 Å³/cell.


Entry two
A plane-wave DFT calculation with PBE was carried out for a relaxed structure of PmSmScZn.

Lattice parameters (Å, degrees): 7.4975 7.4975 7.4975 90.00 90.00 90.00
Space group F-43m (No. 216)
Unique sites:
Pm 0.0000 0.0000 0.0000 (multiplicity 4)
Sm 0.0000 0.0000 0.5000 (multiplicity 4)
Sc 0.2500 0.2500 0.2500 (multiplicity 4)
Zn 0.2500 0.2500 0.7500 (multiplicity 4)

Values from the calculation:
Its density of states at the Fermi level is 4.75 states/eV/f.u. The calculation puts the calculated volume at 421 Å³/cell.


Which one sits at the bottom of the stability order? entry two does.


Entry one
A plane-wave DFT calculation with PBE was carried out for a relaxed structure of Pm2ScSn.

Lattice parameters (Å, degrees): 4.7808 4.7808 4.8115 90.00 90.00 90.00
Space group P4/mmm (No. 123)
Unique sites:
Pm 0.0000 0.5000 0.0000 (multiplicity 2)
Sc 0.0000 0.0000 0.5000 (multiplicity 1)
Sn 0.5000 0.5000 0.5000 (multiplicity 1)

Values from the calculation:
Its density of states at the Fermi level is 4.10 states/eV/f.u. The calculation puts the calculated volume at 110 Å³/cell.


Entry two
A plane-wave DFT calculation with PBE was carried out for a relaxed structure of Pm2ScSn.

Lattice parameters (Å, degrees): 8.3850 10.1388 10.7916 90.00 90.00 90.00
Space group Fmmm (No. 69)
Unique sites:
Pm 0.1980 0.0000 0.0000 (multiplicity 8)
Pm 0.2500 0.2500 0.2500 (multiplicity 8)
Sc 0.0000 0.2026 0.5000 (multiplicity 8)
Sn 0.0000 0.0000 0.2899 (multiplicity 8)

Values from the calculation:
Its density of states at the Fermi level is 4.69 states/eV/f.u. The calculation puts the calculated volume at 917 Å³/cell.


Which one sits at the bottom of the stability order? entry two does.


Entry one
A plane-wave DFT calculation with PBE was carried out for a relaxed structure of Pm2ScSn.

Lattice parameters (Å, degrees): 7.6626 7.6626 7.6626 90.00 90.00 90.00
Space group Fm-3m (No. 225)
Unique sites:
Pm 0.2500 0.2500 0.2500 (multiplicity 8)
Sc 0.0000 0.0000 0.0000 (multiplicity 4)
Sn 0.0000 0.0000 0.5000 (multiplicity 4)

Values from the calculation:
Its density of states at the Fermi level is 7.16 states/eV/f.u. The calculation puts the calculated volume at 450 Å³/cell.


Entry two
A plane-wave DFT calculation with PBE was carried out for a relaxed structure of Pm2ScSn.

Lattice parameters (Å, degrees): 4.2037 4.2037 6.4701 90.00 90.00 90.00
Space group P4/mmm (No. 123)
Unique sites:
Pm 0.0000 0.0000 0.2381 (multiplicity 2)
Sc 0.5000 0.5000 0.5000 (multiplicity 1)
Sn 0.5000 0.5000 0.0000 (multiplicity 1)

Values from the calculation:
Its density of states at the Fermi level is 3.03 states/eV/f.u. The calculation puts the calculated volume at 114 Å³/cell.


Which one sits at the bottom of the stability order? entry one does.


Entry one
A plane-wave DFT calculation with PBE was carried out for a relaxed structure of Pm2ScSn2.

Lattice parameters (Å, degrees): 5.0053 17.8137 6.4851 90.00 90.00 90.00
Space group Cmc2_1 (No. 36)
Unique sites:
Pm 0.0000 0.0001 0.0000 (multiplicity 4)
Pm 0.0000 0.1976 0.2507 (multiplicity 4)
Sc 0.0000 0.4003 0.2497 (multiplicity 4)
Sn 0.0000 0.1794 0.7506 (multiplicity 4)
Sn 0.0000 0.4229 0.7499 (multiplicity 4)

Values from the calculation:
Its density of states at the Fermi level is 3.92 states/eV/f.u. The calculation puts the calculated volume at 578 Å³/cell.


Entry two
A plane-wave DFT calculation with PBE was carried out for a relaxed structure of Pm2ScSn2.

Lattice parameters (Å, degrees): 7.8548 7.8548 4.6091 90.00 90.00 90.00
Space group P4/mbm (No. 127)
Unique sites:
Pm 0.1716 0.3284 0.0000 (multiplicity 4)
Sc 0.0000 0.0000 0.5000 (multiplicity 2)
Sn 0.1338 0.6338 0.5000 (multiplicity 4)

Values from the calculation:
Its density of states at the Fermi level is 4.00 states/eV/f.u. The calculation puts the calculated volume at 284 Å³/cell.


Which one sits at the bottom of the stability order? entry one does.